Entry 1:
# GGA-PBE CsRbI2, optimized geometry
# Crystal system: trigonal
# Distance to the lowest polymorph of the same formula in kJ/mol of atoms: 1.7
# Space group: R3m (160)
# Uncorrected formation energy in eV/f.u.: -6.0
data_CsRbI2
_space_group_name_H-M_alt 'P 1'
_space_group_IT_number 1
_space_group_name_Hall 'P 1'
_cell_length_a 5.3088
_cell_length_b 5.3088
_cell_length_c 9.6674
_cell_angle_alpha 74.06
_cell_angle_beta 74.06
_cell_angle_gamma 60.00
loop_
_atom_site_label
_atom_site_type_symbol
_atom_site_fract_x
_atom_site_fract_y
_atom_site_fract_z
I1 I 0.0786 0.0786 0.7641
I2 I 0.2548 0.2548 0.2356
Cs1 Cs 0.4986 0.4986 0.5042
Rb1 Rb 0.6679 0.6679 0.9962

***

Entry 2:
# GGA-PBE Na3Pu3BeS8, optimized geometry
# Crystal system: monoclinic
# Space group: C2/m (12)
# Uncorrected formation energy in eV/f.u.: -18.4
data_Na3Pu3BeS8
_space_group_name_H-M_alt 'P 1'
_space_group_IT_number 1
_space_group_name_Hall 'P 1'
_cell_length_a 7.7720
_cell_length_b 7.8753
_cell_length_c 8.0365
_cell_angle_alpha 119.35
_cell_angle_beta 90.00
_cell_angle_gamma 119.57
loop_
_atom_site_label
_atom_site_type_symbol
_atom_site_fract_x
_atom_site_fract_y
_atom_site_fract_z
S1 S 0.2650 0.5300 0.7367
S2 S 0.7435 0.4871 0.7322
S3 S 0.7759 0.9782 0.6897
S4 S 0.2241 0.0218 0.3103
S5 S 0.2023 0.9782 0.6897
S6 S 0.2565 0.5129 0.2678
S7 S 0.7350 0.4700 0.2633
S8 S 0.7977 0.0218 0.3103
Pu1 Pu 0.5000 0.5000 0.5000
Pu2 Pu 0.0000 0.5000 0.5000
Pu3 Pu 0.5000 0.0000 0.5000
Na1 Na 0.0000 0.5000 0.0000
Na2 Na 0.5000 0.5000 0.0000
Na3 Na 0.0000 0.0000 0.0000
Be1 Be 0.0000 0.0000 0.5000

***

Entry 3:
# GGA-PBE Rb3NbTc, optimized geometry
# Crystal system: cubic
# Distance to the lowest polymorph of the same formula in kJ/mol of atoms: 0.0
# Space group: Pm-3m (221)
data_Rb3NbTc
_space_group_name_H-M_alt 'P 1'
_space_group_IT_number 1
_space_group_name_Hall 'P 1'
_cell_length_a 6.8997
_cell_length_b 6.8997
_cell_length_c 6.8997
_cell_angle_alpha 90.00
_cell_angle_beta 90.00
_cell_angle_gamma 90.00
loop_
_atom_site_label
_atom_site_type_symbol
_atom_site_fract_x
_atom_site_fract_y
_atom_site_fract_z
Rb1 Rb 0.0000 0.0000 0.5000
Rb2 Rb 0.5000 0.0000 0.0000
Rb3 Rb 0.0000 0.5000 0.0000
Tc1 Tc 0.5000 0.5000 0.5000
Nb1 Nb 0.0000 0.0000 0.0000

***

Number 2 is which compound?
Na3Pu3BeS8

***

Number 2 is which compound?
Na3Pu3BeS8

***

Copy entry 3 word for word.
# GGA-PBE Rb3NbTc, optimized geometry
# Crystal system: cubic
# Distance to the lowest polymorph of the same formula in kJ/mol of atoms: 0.0
# Space group: Pm-3m (221)
data_Rb3NbTc
_space_group_name_H-M_alt 'P 1'
_space_group_IT_number 1
_space_group_name_Hall 'P 1'
_cell_length_a 6.8997
_cell_length_b 6.8997
_cell_length_c 6.8997
_cell_angle_alpha 90.00
_cell_angle_beta 90.00
_cell_angle_gamma 90.00
loop_
_atom_site_label
_atom_site_type_symbol
_atom_site_fract_x
_atom_site_fract_y
_atom_site_fract_z
Rb1 Rb 0.0000 0.0000 0.5000
Rb2 Rb 0.5000 0.0000 0.0000
Rb3 Rb 0.0000 0.5000 0.0000
Tc1 Tc 0.5000 0.5000 0.5000
Nb1 Nb 0.0000 0.0000 0.0000